1.
# NbInPBr2

Crystalline NbInPBr2 at its relaxed geometry (PBE, Alexandria via LeMat-Bulk).

Values from the calculation:
formation energy without anion corrections: 0.500 eV/atom
DOS(E_F): 5.4 states/eV per cell

POSCAR file:
```
NbInPBr2
1.0
5.475 0.000 0.000
0.000 5.475 0.000
0.000 0.000 4.928
Nb In P Br
1 1 1 2
direct
0.000 0.000 0.000
0.500 0.500 0.000
0.000 0.000 0.500
0.000 0.500 0.500
0.500 0.000 0.500
```

2.
# LiGdYRe

Crystalline LiGdYRe at its relaxed geometry (PBE, Alexandria via LeMat-Bulk).

Values from the calculation:
calculated formation energy: 0.092 eV per atom
DOS(E_F): 3.5 states/eV per cell

POSCAR file:
```
LiGdYRe
1.0
0.000 3.499 3.499
3.499 0.000 3.499
3.499 3.499 0.000
Li Gd Y Re
1 1 1 1
direct
0.000 0.000 0.000
0.750 0.750 0.750
0.250 0.250 0.250
0.500 0.500 0.500
```

Q: Among the records above, which one has the lowest DOS(E_F)?
A: LiGdYRe

Q: Which value of DOS(E_F) does entry 1 give?
A: 5.4 states/eV per cell

Please write out number 2 again, unchanged.
# LiGdYRe

Crystalline LiGdYRe at its relaxed geometry (PBE, Alexandria via LeMat-Bulk).

Values from the calculation:
calculated formation energy: 0.092 eV per atom
DOS(E_F): 3.5 states/eV per cell

POSCAR file:
```
LiGdYRe
1.0
0.000 3.499 3.499
3.499 0.000 3.499
3.499 3.499 0.000
Li Gd Y Re
1 1 1 1
direct
0.000 0.000 0.000
0.750 0.750 0.750
0.250 0.250 0.250
0.500 0.500 0.500
```